(1)
Below is an optimized crystal structure of BeTl2AsS4, with properties calculated at the PBE level.

Volume (Å³/atom): 26.029
D(E_F) (states/eV per cell): 5.0
Space-group type: Fddd (70)
Energy relative to the elements, uncorrected (meV per atom): -350

a = 13.001 Å, b = 11.565 Å, c = 7.156 Å
α = 84.47°, β = 62.31°, γ = 33.22°
Element x y z (fractional)
Be  0.125  0.125  0.125
Be  0.875  0.875  0.875
Tl  0.050  0.050  0.700
Tl  0.300  0.300  0.950
Tl  0.700  0.700  0.050
Tl  0.950  0.950  0.300
As  0.375  0.375  0.375
As  0.625  0.625  0.625
S  0.044  0.310  0.393
S  0.248  0.607  0.690
S  0.310  0.044  0.752
S  0.393  0.752  0.044
S  0.607  0.248  0.956
S  0.690  0.956  0.248
S  0.752  0.393  0.310
S  0.956  0.690  0.607


(2)
Below is an optimized crystal structure of Be3SbAs, with properties calculated at the PBE level.

Volume (Å³/atom): 19.445
D(E_F) (states/eV per cell): 2.1
Space-group type: Pm-3m (221)
Energy relative to the elements, uncorrected (meV per atom): 1187
Energy relative to the lowest polymorph listed for this composition (eV/atom): 0.516

a = 4.598 Å, b = 4.598 Å, c = 4.598 Å
α = 90.00°, β = 90.00°, γ = 90.00°
Element x y z (fractional)
Be  0.000  0.000  0.500
Be  0.000  0.500  0.000
Be  0.500  0.000  0.000
Sb  0.000  0.000  0.000
As  0.500  0.500  0.500


(3)
Below is an optimized crystal structure of BeSb4As, with properties calculated at the PBE level.

Volume (Å³/atom): 27.037
D(E_F) (states/eV per cell): 5.1
Space-group type: F-43m (216)
Energy relative to the elements, uncorrected (meV per atom): 876

a = 6.122 Å, b = 6.122 Å, c = 6.122 Å
α = 60.00°, β = 60.00°, γ = 60.00°
Element x y z (fractional)
Be  0.000  0.000  0.000
Sb  0.125  0.625  0.625
Sb  0.625  0.125  0.625
Sb  0.625  0.625  0.125
Sb  0.625  0.625  0.625
As  0.250  0.250  0.250


(4)
Below is an optimized crystal structure of BeSbAs3, with properties calculated at the PBE level.

Volume (Å³/atom): 19.587
D(E_F) (states/eV per cell): 3.7
Space-group type: Pm-3m (221)
Energy relative to the elements, uncorrected (meV per atom): 449
Energy relative to the lowest polymorph listed for this composition (eV/atom): 0.000

a = 4.609 Å, b = 4.609 Å, c = 4.609 Å
α = 90.00°, β = 90.00°, γ = 90.00°
Element x y z (fractional)
Be  0.000  0.000  0.000
Sb  0.500  0.500  0.500
As  0.000  0.000  0.500
As  0.000  0.500  0.000
As  0.500  0.000  0.000


(5)
Below is an optimized crystal structure of Be3SbAs, with properties calculated at the PBE level.

Volume (Å³/atom): 16.717
D(E_F) (states/eV per cell): 0.9
Space-group type: Pm-3m (221)
Energy relative to the elements, uncorrected (meV per atom): 671
Energy relative to the lowest polymorph listed for this composition (eV/atom): 0.000

a = 4.372 Å, b = 4.372 Å, c = 4.372 Å
α = 90.00°, β = 90.00°, γ = 90.00°
Element x y z (fractional)
Be  0.000  0.000  0.500
Be  0.000  0.500  0.000
Be  0.500  0.000  0.000
Sb  0.500  0.500  0.500
As  0.000  0.000  0.000


(6)
Below is an optimized crystal structure of BeSbAs3, with properties calculated at the PBE level.

Volume (Å³/atom): 29.047
D(E_F) (states/eV per cell): 7.2
Space-group type: Pm-3m (221)
Energy relative to the elements, uncorrected (meV per atom): 1450
Energy relative to the lowest polymorph listed for this composition (eV/atom): 1.001

a = 5.256 Å, b = 5.256 Å, c = 5.256 Å
α = 90.00°, β = 90.00°, γ = 90.00°
Element x y z (fractional)
Be  0.000  0.000  0.000
Sb  0.500  0.500  0.500
As  0.000  0.500  0.500
As  0.500  0.000  0.500
As  0.500  0.500  0.000


(7)
Below is an optimized crystal structure of BeSbAsSe2, with properties calculated at the PBE level.

Volume (Å³/atom): 29.564
D(E_F) (states/eV per cell): 5.0
Space-group type: P4/mmm (123)
Energy relative to the elements, uncorrected (meV per atom): 1110
Energy relative to the lowest polymorph listed for this composition (eV/atom): 0.842

a = 5.243 Å, b = 5.243 Å, c = 5.378 Å
α = 90.00°, β = 90.00°, γ = 90.00°
Element x y z (fractional)
Be  0.000  0.000  0.000
Sb  0.500  0.500  0.500
As  0.500  0.500  0.000
Se  0.000  0.500  0.500
Se  0.500  0.000  0.500


(8)
Below is an optimized crystal structure of BeSbAsSe2, with properties calculated at the PBE level.

Volume (Å³/atom): 20.002
D(E_F) (states/eV per cell): 3.7
Space-group type: P4/mmm (123)
Energy relative to the elements, uncorrected (meV per atom): 268
Energy relative to the lowest polymorph listed for this composition (eV/atom): 0.000

a = 4.630 Å, b = 4.630 Å, c = 4.665 Å
α = 90.00°, β = 90.00°, γ = 90.00°
Element x y z (fractional)
Be  0.000  0.000  0.000
Sb  0.500  0.500  0.500
As  0.000  0.000  0.500
Se  0.000  0.500  0.000
Se  0.500  0.000  0.000


Q: Look up the energy relative to the elements, uncorrected of the first one.
A: -350 meV per atom


Q: Which of these has the lowest volume?
A: number 5


Q: What is the formula in the fourth record?
A: BeSbAs3